# LaTb4Pr, relaxed, DFT PBE
# * DOS(E_F): 1.487 states/eV per atom
# * total energy: -28.091 eV/cell
data_LaTb4Pr
_chemical_formula_sum 'La1 Tb4 Pr1'
_cell_length_a 5.111
_cell_length_b 6.262
_cell_length_c 7.254
_cell_angle_alpha 106.84
_cell_angle_beta 90.09
_cell_angle_gamma 114.02
_space_group_name_H-M_alt 'P -1'
_space_group_IT_number 2
loop_
_space_group_symop_operation_xyz
'x,y,z'
'-x,-y,-z'
loop_
_atom_site_label
_atom_site_fract_x
_atom_site_fract_y
_atom_site_fract_z
La1 0.000 0.000 0.000
Tb1 0.331 0.662 0.665
Tb2 0.332 0.665 0.167
Pr1 0.000 0.000 0.500